Record 1
VASP calculation (GGA-PBE) on a relaxed structure of NaZn12Ag6.

POSCAR file:
```
NaZn12Ag6
1.0
5.793 3.345 2.994
-5.793 3.345 2.994
0.000 -6.690 2.994
Na Zn Ag
1 12 6
Direct
0.000 0.000 0.000
0.109 0.500 0.891
0.109 0.891 0.500
0.117 0.372 0.372
0.372 0.117 0.372
0.372 0.372 0.117
0.500 0.109 0.891
0.500 0.891 0.109
0.628 0.628 0.883
0.628 0.883 0.628
0.883 0.628 0.628
0.891 0.109 0.500
0.891 0.500 0.109
0.293 0.293 0.700
0.293 0.700 0.293
0.300 0.707 0.707
0.700 0.293 0.293
0.707 0.300 0.707
0.707 0.707 0.300
```

Output
ΔH_f (0 K)	0.046	eV per atom
crystal system	trigonal

=====

Record 2
VASP calculation (GGA-PBE) on a relaxed structure of Rb2CaSI6.

POSCAR file:
```
Rb2CaSI6
1.0
-4.451 4.451 5.802
4.451 -4.451 5.802
4.451 4.451 -5.802
Rb Ca S I
2 1 1 6
Direct
0.250 0.750 0.500
0.750 0.250 0.500
0.000 0.000 0.000
0.500 0.500 0.000
0.244 0.244 0.488
0.244 0.756 0.000
0.273 0.273 0.000
0.727 0.727 0.000
0.756 0.244 0.000
0.756 0.756 0.512
```

Output
VASP energy	-2.57	eV per atom
crystal system	tetragonal

=====

Record 3
VASP calculation (GGA-PBE) on a relaxed structure of Sr2TaSi.

POSCAR file:
```
Sr2TaSi
1.0
3.608 0.000 0.000
0.000 3.608 0.000
0.000 0.000 9.181
Sr Ta Si
2 1 1
Direct
0.000 0.000 0.000
0.500 0.500 0.391
0.000 0.000 0.662
0.500 0.500 0.724
```

Output
VASP energy	-5.03	eV per atom
crystal system	tetragonal

=====

Record 4
VASP calculation (GGA-PBE) on a relaxed structure of Ho4Er2Te9.

POSCAR file:
```
Ho4Er2Te9
1.0
7.647 0.000 0.000
-3.824 6.623 0.000
0.000 0.000 20.970
Ho Er Te
8 4 18
Direct
0.333 0.667 0.176
0.333 0.667 0.491
0.333 0.667 0.676
0.333 0.667 0.991
0.667 0.333 0.009
0.667 0.333 0.324
0.667 0.333 0.509
0.667 0.333 0.824
0.000 0.000 0.158
0.000 0.000 0.342
0.000 0.000 0.658
0.000 0.000 0.842
0.000 0.314 0.250
0.000 0.686 0.750
0.019 0.351 0.583
0.019 0.668 0.083
0.314 0.000 0.250
0.314 0.314 0.750
0.332 0.351 0.083
0.332 0.981 0.583
0.351 0.019 0.917
0.351 0.332 0.417
0.649 0.668 0.583
0.649 0.981 0.083
0.668 0.019 0.417
0.668 0.649 0.917
0.686 0.000 0.750
0.686 0.686 0.250
0.981 0.332 0.917
0.981 0.649 0.417
```

Output
VASP energy	-5.06	eV per atom
crystal system	trigonal

=====

| no. | V (Å³/atom) |
| --- | --- |
| 1 | 18.3 |
| 2 | 46.0 |
| 3 | 29.9 |
| 4 | 35.4 |